Entry 1:
Entry from Alexandria: a relaxed structure of AgP2PdO (GGA-PBE).

Output
energy = -4.1632 eV/atom
N(E_F) = 6.3 states/eV/f.u.
mass density = 5.5 Mg/m³
symmetry = P4/mmm
total magnetization = 0.0 μB per formula unit

Cell lengths 4.830, 4.830, 3.794 Å; angles 90.00, 90.00, 90.00 degrees
Fractional coordinates of all 5 atoms:
1 Ag 0.000 0.000 0.000
2 P 0.000 0.500 0.500
3 P 0.500 0.000 0.500
4 Pd 0.500 0.500 0.500
5 O 0.500 0.500 0.000

***

Entry 2:
Entry from Alexandria: a relaxed structure of TaCoMo (GGA-PBE).

Output
energy = -9.8864 eV/atom
N(E_F) = 3.3 states/eV/f.u.
mass density = 12.4 Mg/m³
symmetry = P3m1
total magnetization = 0.4 μB per formula unit

Cell lengths 4.381, 4.381, 5.396 Å; angles 90.00, 90.00, 120.00 degrees
Fractional coordinates of all 6 atoms:
1 Ta 0.000 0.000 0.000
2 Ta 0.333 0.667 0.645
3 Co 0.333 0.667 0.139
4 Co 0.667 0.333 0.338
5 Mo 0.000 0.000 0.483
6 Mo 0.667 0.333 0.831

***

Entry 3:
Entry from Alexandria: a relaxed structure of Th2CuPd9 (GGA-PBE).

Output
energy = -6.1405 eV/atom
N(E_F) = 7.5 states/eV/f.u.
mass density = 11.7 Mg/m³
symmetry = P4/mmm
total magnetization = 0.0 μB per formula unit

Cell lengths 4.217, 4.217, 11.806 Å; angles 90.00, 90.00, 90.00 degrees
Fractional coordinates of all 12 atoms:
1 Th 0.000 0.000 0.184
2 Th 0.000 0.000 0.816
3 Cu 0.000 0.000 0.500
4 Pd 0.000 0.500 0.000
5 Pd 0.000 0.500 0.350
6 Pd 0.000 0.500 0.650
7 Pd 0.500 0.000 0.000
8 Pd 0.500 0.000 0.350
9 Pd 0.500 0.000 0.650
10 Pd 0.500 0.500 0.173
11 Pd 0.500 0.500 0.500
12 Pd 0.500 0.500 0.827

***

Entry 4:
Entry from Alexandria: a relaxed structure of NdPH2Ru2 (GGA-PBE).

Output
energy = -6.3731 eV/atom
N(E_F) = 3.5 states/eV/f.u.
mass density = 7.7 Mg/m³
symmetry = Cmcm
total magnetization = 0.0 μB per formula unit

Cell lengths 5.844, 5.844, 5.666 Å; angles 90.00, 90.00, 122.18 degrees
Fractional coordinates of all 12 atoms:
1 Nd 0.243 0.757 0.750
2 Nd 0.757 0.243 0.250
3 P 0.111 0.889 0.250
4 P 0.889 0.111 0.750
5 H 0.233 0.430 0.250
6 H 0.430 0.233 0.750
7 H 0.570 0.767 0.250
8 H 0.767 0.570 0.750
9 Ru 0.265 0.265 0.000
10 Ru 0.265 0.265 0.500
11 Ru 0.735 0.735 0.000
12 Ru 0.735 0.735 0.500

***

Entry 5:
Entry from Alexandria: a relaxed structure of Cs2TcHg (GGA-PBE).

Output
energy = -2.0329 eV/atom
N(E_F) = 4.8 states/eV/f.u.
mass density = 5.2 Mg/m³
symmetry = Fm-3m
total magnetization = 3.3 μB per formula unit

Cell lengths 8.960, 8.960, 8.960 Å; angles 90.00, 90.00, 90.00 degrees
Fractional coordinates of all 16 atoms:
1 Cs 0.250 0.250 0.250
2 Cs 0.250 0.250 0.750
3 Cs 0.250 0.750 0.250
4 Cs 0.250 0.750 0.750
5 Cs 0.750 0.250 0.250
6 Cs 0.750 0.250 0.750
7 Cs 0.750 0.750 0.250
8 Cs 0.750 0.750 0.750
9 Tc 0.000 0.000 0.000
10 Tc 0.000 0.500 0.500
11 Tc 0.500 0.000 0.500
12 Tc 0.500 0.500 0.000
13 Hg 0.000 0.000 0.500
14 Hg 0.000 0.500 0.000
15 Hg 0.500 0.000 0.000
16 Hg 0.500 0.500 0.500

***

Entry 6:
Entry from Alexandria: a relaxed structure of LaAs2SeBr (GGA-PBE).

Output
energy = -3.8066 eV/atom
N(E_F) = 8.2 states/eV/f.u.
mass density = 5.5 Mg/m³
symmetry = P4/mmm
total magnetization = 0.0 μB per formula unit

Cell lengths 5.065, 5.065, 5.305 Å; angles 90.00, 90.00, 90.00 degrees
Fractional coordinates of all 5 atoms:
1 La 0.000 0.000 0.000
2 As 0.000 0.500 0.500
3 As 0.500 0.000 0.500
4 Se 0.500 0.500 0.000
5 Br 0.500 0.500 0.500

***

Entry 7:
Entry from Alexandria: a relaxed structure of Pm6N5 (GGA-PBE).

Output
energy = -7.6940 eV/atom
N(E_F) = 3.9 states/eV/f.u.
mass density = 7.7 Mg/m³
symmetry = C2/m
total magnetization = 0.7 μB per formula unit

Cell lengths 6.288, 6.288, 6.288 Å; angles 99.78, 99.78, 119.89 degrees
Fractional coordinates of all 11 atoms:
1 Pm 0.063 0.415 0.746
2 Pm 0.234 0.234 0.265
3 Pm 0.415 0.063 0.746
4 Pm 0.585 0.937 0.254
5 Pm 0.766 0.766 0.735
6 Pm 0.937 0.585 0.254
7 N 0.000 0.000 0.500
8 N 0.166 0.834 0.000
9 N 0.329 0.671 0.500
10 N 0.671 0.329 0.500
11 N 0.834 0.166 0.000

***

Entry 8:
Entry from Alexandria: a relaxed structure of LaScGe2Pt5 (GGA-PBE).

Output
energy = -6.4098 eV/atom
N(E_F) = 3.7 states/eV/f.u.
mass density = 13.0 Mg/m³
symmetry = P4/mmm
total magnetization = 0.0 μB per formula unit

Cell lengths 4.287, 4.287, 9.096 Å; angles 90.00, 90.00, 90.00 degrees
Fractional coordinates of all 9 atoms:
1 La 0.000 0.000 0.000
2 Sc 0.000 0.000 0.500
3 Ge 0.500 0.500 0.369
4 Ge 0.500 0.500 0.631
5 Pt 0.000 0.500 0.238
6 Pt 0.000 0.500 0.762
7 Pt 0.500 0.000 0.238
8 Pt 0.500 0.000 0.762
9 Pt 0.500 0.500 0.000

***

Entry 9:
Entry from Alexandria: a relaxed structure of YErMgNi (GGA-PBE).

Output
energy = -4.8585 eV/atom
N(E_F) = 2.4 states/eV/f.u.
mass density = 6.1 Mg/m³
symmetry = P4mm
total magnetization = 0.0 μB per formula unit

Cell lengths 3.438, 3.438, 7.862 Å; angles 90.00, 90.00, 90.00 degrees
Fractional coordinates of all 4 atoms:
1 Y 0.000 0.000 0.000
2 Er 0.000 0.000 0.407
3 Mg 0.500 0.500 0.701
4 Ni 0.500 0.500 0.212

***

Entry 10:
Entry from Alexandria: a relaxed structure of CrTcH (GGA-PBE).

Output
energy = -7.6446 eV/atom
N(E_F) = 2.7 states/eV/f.u.
mass density = 8.6 Mg/m³
symmetry = Pm
total magnetization = 0.0 μB per formula unit

Cell lengths 4.431, 2.755, 4.772 Å; angles 90.00, 91.78, 90.00 degrees
Fractional coordinates of all 6 atoms:
1 Cr 0.000 0.000 0.000
2 Cr 0.459 0.500 0.877
3 Tc 0.025 0.500 0.522
4 Tc 0.477 0.000 0.339
5 H 0.625 0.500 0.559
6 H 0.782 0.500 0.142

***

Entry 11:
Entry from Alexandria: a relaxed structure of Sc2MnW (GGA-PBE).

Output
energy = -8.3892 eV/atom
N(E_F) = 7.3 states/eV/f.u.
mass density = 8.2 Mg/m³
symmetry = F-43m
total magnetization = 0.0 μB per formula unit

Cell lengths 6.441, 6.441, 6.441 Å; angles 90.00, 90.00, 90.00 degrees
Fractional coordinates of all 16 atoms:
1 Sc 0.000 0.000 0.000
2 Sc 0.000 0.500 0.500
3 Sc 0.250 0.250 0.250
4 Sc 0.250 0.750 0.750
5 Sc 0.500 0.000 0.500
6 Sc 0.500 0.500 0.000
7 Sc 0.750 0.250 0.750
8 Sc 0.750 0.750 0.250
9 Mn 0.000 0.000 0.500
10 Mn 0.000 0.500 0.000
11 Mn 0.500 0.000 0.000
12 Mn 0.500 0.500 0.500
13 W 0.250 0.250 0.750
14 W 0.250 0.750 0.250
15 W 0.750 0.250 0.250
16 W 0.750 0.750 0.750

***

Question: Which value of energy does entry 2 give?
Answer: -9.8864 eV/atom